VASP calculation (PBE) on crystalline SmYTaN3 at its relaxed geometry.

Summary:
As for the space group: P2_1/m, No. 11. For the uncorrected formation energy, the calculation gives -1.10 eV/atom.

POSCAR file:
```
SmYTaN3
1.0
7.346 0.000 0.000
0.000 3.447 0.000
-0.231 0.000 7.922
Sm Y Ta N
2 2 2 6
Direct
0.152 0.250 0.158 Sm
0.848 0.750 0.842 Sm
0.392 0.750 0.846 Y
0.608 0.250 0.154 Y
0.123 0.250 0.582 Ta
0.877 0.750 0.418 Ta
0.132 0.250 0.836 N
0.174 0.750 0.456 N
0.384 0.750 0.126 N
0.616 0.250 0.874 N
0.826 0.250 0.544 N
0.868 0.750 0.164 N
```

---

VASP calculation (PBE) on crystalline LaIn2Cu at its relaxed geometry.

Summary:
The calculation puts the energy of formation from the pure elements at -26.9 kJ/mol of atoms. As for the space group: R3m, No. 160.

POSCAR file:
```
LaIn2Cu
1.0
4.620 0.000 0.000
-2.310 4.001 0.000
0.000 0.000 16.550
La In Cu
3 6 3
Direct
0.000 0.000 0.000 La
0.333 0.667 0.667 La
0.667 0.333 0.333 La
0.000 0.000 0.215 In
0.000 0.000 0.463 In
0.333 0.667 0.129 In
0.333 0.667 0.882 In
0.667 0.333 0.549 In
0.667 0.333 0.796 In
0.000 0.000 0.793 Cu
0.333 0.667 0.460 Cu
0.667 0.333 0.126 Cu
```

---

VASP calculation (PBE) on crystalline NaDyGe at its relaxed geometry.

Summary:
The calculation puts the energy of formation from the pure elements at -34.5 kJ/mol of atoms. As for the space group: R-3m, No. 166.

POSCAR file:
```
NaDyGe
1.0
2.475 1.429 8.156
-2.475 1.429 8.156
0.000 -2.858 8.156
Na Dy Ge
2 2 2
Direct
0.133 0.133 0.133 Na
0.867 0.867 0.867 Na
0.380 0.380 0.380 Dy
0.620 0.620 0.620 Dy
0.260 0.260 0.260 Ge
0.740 0.740 0.740 Ge
```

---

VASP calculation (PBE) on crystalline SmThBiSb at its relaxed geometry.

Summary:
The calculation puts the excess energy over the best structure of this formula in the dataset at 0 meV per atom. As for the space group: R3m, No. 160. For the uncorrected formation energy, the calculation gives -0.90 eV/atom.

POSCAR file:
```
SmThBiSb
1.0
4.533 0.000 0.000
-2.266 3.926 0.000
0.000 0.000 22.197
Sm Th Bi Sb
3 3 3 3
Direct
0.000 0.000 0.000 Sm
0.333 0.667 0.667 Sm
0.667 0.333 0.333 Sm
0.000 0.000 0.495 Th
0.333 0.667 0.161 Th
0.667 0.333 0.828 Th
0.000 0.000 0.248 Bi
0.333 0.667 0.915 Bi
0.667 0.333 0.581 Bi
0.000 0.000 0.746 Sb
0.333 0.667 0.413 Sb
0.667 0.333 0.080 Sb
```

---

VASP calculation (PBE) on crystalline SmPaPb at its relaxed geometry.

Summary:
The calculation puts the energy of formation from the pure elements at 7.7 kJ/mol of atoms. The calculation puts the excess energy over the best structure of this formula in the dataset at 40 meV per atom. As for the space group: P4/nmm, No. 129.

POSCAR file:
```
SmPaPb
1.0
4.189 0.000 0.000
0.000 4.189 0.000
0.000 0.000 9.854
Sm Pa Pb
2 2 2
Direct
0.250 0.250 0.242 Sm
0.750 0.750 0.758 Sm
0.250 0.250 0.572 Pa
0.750 0.750 0.428 Pa
0.250 0.250 0.901 Pb
0.750 0.750 0.099 Pb
```

---

VASP calculation (PBE) on crystalline Al12V5Pt3 at its relaxed geometry.

Summary:
The calculation puts the energy of formation from the pure elements at 39.0 kJ/mol of atoms. As for the space group: Ia-3d, No. 230.

POSCAR file:
```
Al12V5Pt3
1.0
-7.493 7.493 7.493
7.493 -7.493 7.493
7.493 7.493 -7.493
Al V Pt
48 20 12
Direct
0.070 0.645 0.417 Al
0.070 0.925 0.653 Al
0.075 0.229 0.145 Al
0.075 0.347 0.930 Al
0.083 0.729 0.653 Al
0.083 0.855 0.430 Al
0.145 0.075 0.229 Al
0.145 0.570 0.917 Al
0.153 0.229 0.583 Al
0.153 0.425 0.570 Al
0.229 0.145 0.075 Al
0.229 0.583 0.153 Al
0.271 0.347 0.917 Al
0.271 0.425 0.355 Al
0.347 0.917 0.271 Al
0.347 0.930 0.075 Al
0.355 0.271 0.425 Al
0.355 0.583 0.930 Al
0.417 0.070 0.645 Al
0.417 0.847 0.771 Al
0.425 0.355 0.271 Al
0.425 0.570 0.153 Al
0.430 0.083 0.855 Al
0.430 0.847 0.575 Al
0.570 0.153 0.425 Al
0.570 0.917 0.145 Al
0.575 0.430 0.847 Al
0.575 0.645 0.729 Al
0.583 0.153 0.229 Al
0.583 0.930 0.355 Al
0.645 0.417 0.070 Al
0.645 0.729 0.575 Al
0.653 0.070 0.925 Al
0.653 0.083 0.729 Al
0.729 0.575 0.645 Al
0.729 0.653 0.083 Al
0.771 0.417 0.847 Al
0.771 0.855 0.925 Al
0.847 0.575 0.430 Al
0.847 0.771 0.417 Al
0.855 0.430 0.083 Al
0.855 0.925 0.771 Al
0.917 0.145 0.570 Al
0.917 0.271 0.347 Al
0.925 0.653 0.070 Al
0.925 0.771 0.855 Al
0.930 0.075 0.347 Al
0.930 0.355 0.583 Al
0.000 0.000 0.000 V
0.000 0.000 0.500 V
0.000 0.500 0.000 V
0.000 0.500 0.500 V
0.125 0.750 0.875 V
0.125 0.875 0.250 V
0.250 0.125 0.875 V
0.250 0.625 0.375 V
0.375 0.250 0.625 V
0.375 0.625 0.750 V
0.500 0.000 0.000 V
0.500 0.000 0.500 V
0.500 0.500 0.000 V
0.500 0.500 0.500 V
0.625 0.375 0.250 V
0.625 0.750 0.375 V
0.750 0.375 0.625 V
0.750 0.875 0.125 V
0.875 0.125 0.750 V
0.875 0.250 0.125 V
0.125 0.250 0.375 Pt
0.125 0.375 0.750 Pt
0.250 0.375 0.125 Pt
0.250 0.875 0.625 Pt
0.375 0.125 0.250 Pt
0.375 0.750 0.125 Pt
0.625 0.250 0.875 Pt
0.625 0.875 0.750 Pt
0.750 0.125 0.375 Pt
0.750 0.625 0.875 Pt
0.875 0.625 0.250 Pt
0.875 0.750 0.625 Pt
```

---

VASP calculation (PBE) on crystalline AcPd4Pt at its relaxed geometry.

Summary:
The calculation puts the energy of formation from the pure elements at -43.0 kJ/mol of atoms. The calculation puts the excess energy over the best structure of this formula in the dataset at 0 meV per atom. As for the space group: Pmma, No. 51.

POSCAR file:
```
AcPd4Pt
1.0
7.746 0.000 0.000
0.000 4.263 0.000
0.000 0.000 7.097
Ac Pd Pt
2 8 2
Direct
0.250 0.000 0.155 Ac
0.750 0.000 0.845 Ac
0.000 0.000 0.500 Pd
0.041 0.500 0.799 Pd
0.250 0.500 0.473 Pd
0.459 0.500 0.799 Pd
0.500 0.000 0.500 Pd
0.541 0.500 0.201 Pd
0.750 0.500 0.527 Pd
0.959 0.500 0.201 Pd
0.250 0.000 0.751 Pt
0.750 0.000 0.249 Pt
```

---

VASP calculation (PBE) on crystalline SmDy5Ho2 at its relaxed geometry.

Summary:
The calculation puts the energy of formation from the pure elements at 1.5 kJ/mol of atoms. As for the space group: Pbam, No. 55.

POSCAR file:
```
SmDy5Ho2
1.0
7.099 0.000 0.000
0.000 14.197 0.000
0.000 0.000 5.009
Sm Dy Ho
2 10 4
Direct
0.000 0.000 0.000 Sm
0.500 0.500 0.000 Sm
0.000 0.500 0.000 Dy
0.001 0.251 0.000 Dy
0.249 0.625 0.500 Dy
0.251 0.125 0.500 Dy
0.499 0.751 0.000 Dy
0.500 0.000 0.000 Dy
0.501 0.249 0.000 Dy
0.749 0.875 0.500 Dy
0.751 0.375 0.500 Dy
0.999 0.749 0.000 Dy
0.250 0.374 0.500 Ho
0.250 0.874 0.500 Ho
0.750 0.126 0.500 Ho
0.750 0.626 0.500 Ho
```

---

VASP calculation (PBE) on crystalline Tm7Te5 at its relaxed geometry.

Summary:
As for the space group: C2/m, No. 12. For the uncorrected formation energy, the calculation gives -0.87 eV/atom.

POSCAR file:
```
Tm7Te5
1.0
6.761 -1.986 0.000
6.761 1.986 0.000
-3.489 0.000 12.920
Tm Te
7 5
Direct
0.000 0.000 0.000 Tm
0.171 0.171 0.559 Tm
0.256 0.256 0.838 Tm
0.486 0.486 0.281 Tm
0.514 0.514 0.719 Tm
0.744 0.744 0.162 Tm
0.829 0.829 0.441 Tm
0.166 0.166 0.311 Te
0.365 0.365 0.066 Te
0.500 0.500 0.500 Te
0.635 0.635 0.934 Te
0.834 0.834 0.689 Te
```

---

VASP calculation (PBE) on crystalline U5Si at its relaxed geometry.

Summary:
As for the space group: Cmmm, No. 65. For the uncorrected formation energy, the calculation gives -0.03 eV/atom.

POSCAR file:
```
U5Si
1.0
4.196 0.000 0.000
0.000 13.807 0.000
0.000 0.000 4.078
U Si
10 2
Direct
0.000 0.000 0.000 U
0.000 0.157 0.500 U
0.000 0.340 0.000 U
0.000 0.660 0.000 U
0.000 0.843 0.500 U
0.500 0.160 0.000 U
0.500 0.343 0.500 U
0.500 0.500 0.000 U
0.500 0.657 0.500 U
0.500 0.840 0.000 U
0.000 0.500 0.500 Si
0.500 0.000 0.500 Si
```

---

VASP calculation (PBE) on crystalline SrRe2TcW at its relaxed geometry.

Summary:
The calculation puts the energy of formation from the pure elements at 147.2 kJ/mol of atoms. The calculation puts the excess energy over the best structure of this formula in the dataset at 0 meV per atom. As for the space group: P4/mmm, No. 123.

POSCAR file:
```
SrRe2TcW
1.0
4.866 0.000 0.000
0.000 4.866 0.000
0.000 0.000 4.827
Sr Re Tc W
1 2 1 1
Direct
0.000 0.000 0.000 Sr
0.000 0.500 0.500 Re
0.500 0.000 0.500 Re
0.500 0.500 0.000 Tc
0.500 0.500 0.500 W
```

---

VASP calculation (PBE) on crystalline Li3NbBi at its relaxed geometry.

Summary:
The calculation puts the energy of formation from the pure elements at 88.9 kJ/mol of atoms. The calculation puts the excess energy over the best structure of this formula in the dataset at 0 meV per atom. As for the space group: Pm-3m, No. 221.

POSCAR file:
```
Li3NbBi
1.0
4.840 0.000 0.000
0.000 4.840 0.000
0.000 0.000 4.840
Li Nb Bi
3 1 1
Direct
0.000 0.000 0.500 Li
0.000 0.500 0.000 Li
0.500 0.000 0.000 Li
0.500 0.500 0.500 Nb
0.000 0.000 0.000 Bi
```

---

VASP calculation (PBE) on crystalline Hf2Ta2Mo at its relaxed geometry.

Summary:
The calculation puts the energy of formation from the pure elements at 89.2 kJ/mol of atoms. The calculation puts the excess energy over the best structure of this formula in the dataset at 631 meV per atom. As for the space group: I4/mmm, No. 139.

POSCAR file:
```
Hf2Ta2Mo
1.0
3.917 0.000 0.000
0.000 3.917 0.000
0.000 0.000 13.537
Hf Ta Mo
4 4 2
Direct
0.000 0.500 0.250 Hf
0.000 0.500 0.750 Hf
0.500 0.000 0.250 Hf
0.500 0.000 0.750 Hf
0.000 0.000 0.091 Ta
0.000 0.000 0.909 Ta
0.500 0.500 0.409 Ta
0.500 0.500 0.591 Ta
0.000 0.000 0.500 Mo
0.500 0.500 0.000 Mo
```

---

VASP calculation (PBE) on crystalline Re2SiP at its relaxed geometry.

Summary:
The calculation puts the excess energy over the best structure of this formula in the dataset at 511 meV per atom. As for the space group: Cmmm, No. 65. For the uncorrected formation energy, the calculation gives 0.30 eV/atom.

POSCAR file:
```
Re2SiP
1.0
2.936 0.000 0.000
0.000 4.996 0.000
0.000 0.000 7.809
Re Si P
4 2 2
Direct
0.000 0.000 0.242 Re
0.000 0.000 0.758 Re
0.500 0.500 0.242 Re
0.500 0.500 0.758 Re
0.000 0.500 0.500 Si
0.500 0.000 0.500 Si
0.000 0.500 0.000 P
0.500 0.000 0.000 P
```

---

VASP calculation (PBE) on crystalline P5Pb4 at its relaxed geometry.

Summary:
The calculation puts the energy of formation from the pure elements at 53.1 kJ/mol of atoms. As for the space group: P6_3/mcm, No. 193.

POSCAR file:
```
P5Pb4
1.0
8.759 0.000 0.000
-4.379 7.585 0.000
0.000 0.000 6.186
P Pb
10 8
Direct
0.000 0.289 0.250 P
0.000 0.711 0.750 P
0.289 0.000 0.250 P
0.289 0.289 0.750 P
0.333 0.667 0.000 P
0.333 0.667 0.500 P
0.667 0.333 0.000 P
0.667 0.333 0.500 P
0.711 0.000 0.750 P
0.711 0.711 0.250 P
0.000 0.000 0.000 Pb
0.000 0.000 0.500 Pb
0.000 0.375 0.750 Pb
0.000 0.625 0.250 Pb
0.375 0.000 0.750 Pb
0.375 0.375 0.250 Pb
0.625 0.000 0.250 Pb
0.625 0.625 0.750 Pb
```

---

VASP calculation (PBE) on crystalline Ho3Cu5Te12 at its relaxed geometry.

Summary:
As for the space group: Ia-3d, No. 230. For the uncorrected formation energy, the calculation gives -0.41 eV/atom.

POSCAR file:
```
Ho3Cu5Te12
1.0
-8.291 8.291 8.291
8.291 -8.291 8.291
8.291 8.291 -8.291
Ho Cu Te
12 20 48
Direct
0.125 0.250 0.375 Ho
0.125 0.375 0.750 Ho
0.250 0.375 0.125 Ho
0.250 0.875 0.625 Ho
0.375 0.125 0.250 Ho
0.375 0.750 0.125 Ho
0.625 0.250 0.875 Ho
0.625 0.875 0.750 Ho
0.750 0.125 0.375 Ho
0.750 0.625 0.875 Ho
0.875 0.625 0.250 Ho
0.875 0.750 0.625 Ho
0.000 0.000 0.000 Cu
0.000 0.000 0.500 Cu
0.000 0.500 0.000 Cu
0.000 0.500 0.500 Cu
0.125 0.750 0.875 Cu
0.125 0.875 0.250 Cu
0.250 0.125 0.875 Cu
0.250 0.625 0.375 Cu
0.375 0.250 0.625 Cu
0.375 0.625 0.750 Cu
0.500 0.000 0.000 Cu
0.500 0.000 0.500 Cu
0.500 0.500 0.000 Cu
0.500 0.500 0.500 Cu
0.625 0.375 0.250 Cu
0.625 0.750 0.375 Cu
0.750 0.375 0.625 Cu
0.750 0.875 0.125 Cu
0.875 0.125 0.750 Cu
0.875 0.250 0.125 Cu
0.035 0.210 0.123 Te
0.035 0.325 0.911 Te
0.087 0.710 0.675 Te
0.087 0.877 0.411 Te
0.089 0.623 0.413 Te
0.089 0.965 0.675 Te
0.123 0.035 0.210 Te
0.123 0.589 0.913 Te
0.175 0.210 0.587 Te
0.175 0.465 0.589 Te
0.210 0.123 0.035 Te
0.210 0.587 0.175 Te
0.290 0.325 0.913 Te
0.290 0.465 0.377 Te
0.325 0.911 0.035 Te
0.325 0.913 0.290 Te
0.377 0.290 0.465 Te
0.377 0.587 0.911 Te
0.411 0.087 0.877 Te
0.411 0.825 0.535 Te
0.413 0.089 0.623 Te
0.413 0.825 0.790 Te
0.465 0.377 0.290 Te
0.465 0.589 0.175 Te
0.535 0.411 0.825 Te
0.535 0.623 0.710 Te
0.587 0.175 0.210 Te
0.587 0.911 0.377 Te
0.589 0.175 0.465 Te
0.589 0.913 0.123 Te
0.623 0.413 0.089 Te
0.623 0.710 0.535 Te
0.675 0.087 0.710 Te
0.675 0.089 0.965 Te
0.710 0.535 0.623 Te
0.710 0.675 0.087 Te
0.790 0.413 0.825 Te
0.790 0.877 0.965 Te
0.825 0.535 0.411 Te
0.825 0.790 0.413 Te
0.877 0.411 0.087 Te
0.877 0.965 0.790 Te
0.911 0.035 0.325 Te
0.911 0.377 0.587 Te
0.913 0.123 0.589 Te
0.913 0.290 0.325 Te
0.965 0.675 0.089 Te
0.965 0.790 0.877 Te
```

---

VASP calculation (PBE) on crystalline NpU2NbN4 at its relaxed geometry.

Summary:
As for the space group: P2/m, No. 10. For the uncorrected formation energy, the calculation gives -1.24 eV/atom.

POSCAR file:
```
NpU2NbN4
1.0
5.751 0.000 0.000
0.000 3.381 0.000
-1.941 0.000 5.513
Np U Nb N
1 2 1 4
Direct
0.000 0.000 0.000 Np
0.500 0.000 0.500 U
0.500 0.500 0.000 U
0.000 0.500 0.500 Nb
0.238 0.000 0.732 N
0.245 0.500 0.264 N
0.755 0.500 0.736 N
0.762 0.000 0.268 N
```